# 1
DFT (PBE-GGA) results for a relaxed Cs2RbRe2 crystal.

For the formation energy, the calculation gives 1.5892 eV/atom.

The structure belongs to space group P4/mbm (No. 127); the cell edges are 10.912, 10.912 and 3.220 Å and the angles 90.00°, 90.00° and 90.00°. The inequivalent atoms are Cs at (0.203, 0.297, 0.000), Rb at (0.000, 0.000, 0.500) and Re at (0.071, 0.571, 0.500).

# 2
DFT (PBE-GGA) results for a relaxed CsRbRe2 crystal.

For the formation energy, the calculation gives 3.2357 eV/atom.

The structure belongs to space group Fm-3m (No. 225); the cell edges are 7.355, 7.355 and 7.355 Å and the angles 90.00°, 90.00° and 90.00°. The inequivalent atoms are Cs at (0.000, 0.000, 0.000), Rb at (0.000, 0.000, 0.500) and Re at (0.250, 0.250, 0.250).

# 3
DFT (PBE-GGA) results for a relaxed CsRb2Re crystal.

For the formation energy, the calculation gives 1.5627 eV/atom.

The structure belongs to space group Fm-3m (No. 225); the cell edges are 9.359, 9.359 and 9.359 Å and the angles 90.00°, 90.00° and 90.00°. The inequivalent atoms are Cs at (0.000, 0.000, 0.000), Rb at (0.250, 0.250, 0.250) and Re at (0.000, 0.000, 0.500).

# 4
DFT (PBE-GGA) results for a relaxed CsRbReS4 crystal.

The energy relative to the elements, uncorrected is -0.8037 eV per atom.

The structure belongs to space group P2_1/m (No. 11); the cell edges are 7.022, 7.149 and 10.235 Å and the angles 90.00°, 109.62° and 90.00°. The inequivalent atoms are Cs at (0.158, 0.250, 0.404), Rb at (0.287, 0.250, 0.980), Re at (0.328, 0.750, 0.220), S at (0.098, 0.750, 0.322), S at (0.187, 0.750, 0.992) and S at (0.481, 0.002, 0.718).

# 5
DFT (PBE-GGA) results for a relaxed Cs2RbReSe4 crystal.

The energy relative to the elements, uncorrected is -0.7159 eV per atom.

The structure belongs to space group I-4 (No. 82); the cell edges are 8.813, 8.813 and 9.040 Å and the angles 90.00°, 90.00° and 90.00°. The inequivalent atoms are Cs at (0.000, 0.000, 0.000), Cs at (0.000, 0.500, 0.250), Rb at (0.000, 0.500, 0.750), Re at (0.000, 0.000, 0.500) and Se at (0.150, 0.835, 0.646).

# 6
DFT (PBE-GGA) results for a relaxed Cs2Rb2Rh crystal.

For the formation energy, the calculation gives 0.5748 eV/atom. The value obtained for the excess energy over the best structure of this formula in the dataset is 0.0 kJ/mol of atoms.

The structure belongs to space group P4/mbm (No. 127); the cell edges are 8.923, 8.923 and 7.627 Å and the angles 90.00°, 90.00° and 90.00°. The inequivalent atoms are Cs at (0.200, 0.300, 0.000), Rb at (0.176, 0.676, 0.500) and Rh at (0.000, 0.000, 0.500).

# 7
DFT (PBE-GGA) results for a relaxed Cs2Rb2Rh crystal.

For the formation energy, the calculation gives 0.9376 eV/atom. The value obtained for the excess energy over the best structure of this formula in the dataset is 35.0 kJ/mol of atoms.

The structure belongs to space group I4/mmm (No. 139); the cell edges are 5.328, 5.328 and 23.155 Å and the angles 90.00°, 90.00° and 90.00°. The inequivalent atoms are Cs at (0.000, 0.500, 0.250), Rb at (0.000, 0.000, 0.074) and Rh at (0.000, 0.000, 0.500).

# 8
DFT (PBE-GGA) results for a relaxed CsRb2Rh crystal.

For the formation energy, the calculation gives 0.6635 eV/atom.

The structure belongs to space group I-42d (No. 122); the cell edges are 9.144, 9.144 and 13.186 Å and the angles 90.00°, 90.00° and 90.00°. The inequivalent atoms are Cs at (0.000, 0.000, 0.000), Rb at (0.001, 0.250, 0.625) and Rh at (0.000, 0.000, 0.500).